Below is a geometry-optimized Nd4PuSn15 structure, with properties calculated at the GGA-PBE level.

a b c (Å): 4.733 4.732 23.954
angles (deg): 90.00 90.00 90.00
Space group Pm (No. 6)
One atom of each set of equivalent atoms:
Nd 0.000 0.000 0.000
Nd 0.000 0.000 0.405
Nd 0.002 0.000 0.607
Nd 0.999 0.000 0.203
Pu 0.001 0.000 0.804
Sn 0.000 0.500 0.304
Sn 0.001 0.500 0.506
Sn 0.001 0.500 0.900
Sn 0.002 0.500 0.708
Sn 0.499 0.000 0.102
Sn 0.499 0.500 0.203
Sn 0.500 0.000 0.304
Sn 0.500 0.500 0.001
Sn 0.500 0.500 0.405
Sn 0.501 0.000 0.506
Sn 0.501 0.000 0.900
Sn 0.501 0.500 0.804
Sn 0.502 0.000 0.708
Sn 0.502 0.500 0.607
Sn 0.999 0.500 0.102

Output
E, eV/cell: -102.84